Entry 1:
Computed, not measured: crystalline YThIrS at its relaxed geometry at the PBE level of DFT.

a = 3.9405 Å, b = 3.9409 Å, c = 7.6667 Å
α = 90.00°, β = 104.89°, γ = 120.00°
With the nearest neighbours (Å) after each atom.
Fractional coordinates of all 4 atoms:
Y (0.1269, 0.9614, 0.1036)  3 Ir 2.85, 3 S 2.92
Th (0.4867, 0.1413, 0.6434)  3 Ir 2.81, 3 S 3.11
Ir (0.3033, 0.5496, 0.8682)  3 Th 2.81, 3 Y 2.85
S (0.9609, 0.3785, 0.3545)  3 Y 2.92, 3 Th 3.11

Computed properties:
uncorrected formation energy = -1.2704 eV per atom
symmetry = R3m, No. 160



Entry 2:
Computed, not measured: crystalline CrGaH at its relaxed geometry at the PBE level of DFT.

a = 4.0657 Å, b = 5.5396 Å, c = 6.7189 Å
α = 90.00°, β = 106.54°, γ = 90.00°
With the nearest neighbours (Å) after each atom.
Fractional coordinates of all 12 atoms:
Cr (0.7273, 0.6114, 0.4669)  3 H 1.77-1.82
Cr (0.2273, 0.8886, 0.4669)  3 H 1.77-1.82
Cr (0.7727, 0.1114, 0.5331)  3 H 1.77-1.82
Cr (0.2727, 0.3886, 0.5331)  3 H 1.77-1.82
H (0.0159, 0.1660, 0.3574)  3 Cr 1.77-1.82
H (0.9841, 0.8340, 0.6426)  3 Cr 1.77-1.82
H (0.5159, 0.3340, 0.3574)  3 Cr 1.77-1.82
H (0.4841, 0.6660, 0.6426)  3 Cr 1.77-1.82
Ga (0.9498, 0.4173, 0.8262)  2 H 2.38-2.64, 1 Ga 2.43, 3 Cr 2.54-2.66
Ga (0.0502, 0.5827, 0.1738)  2 H 2.38-2.64, 1 Ga 2.43, 3 Cr 2.54-2.66
Ga (0.5502, 0.9173, 0.1738)  2 H 2.38-2.64, 1 Ga 2.43, 3 Cr 2.54-2.66
Ga (0.4498, 0.0827, 0.8262)  2 H 2.38-2.64, 1 Ga 2.43, 3 Cr 2.54-2.66

Computed properties:
symmetry = P2_1/c, No. 14
energy above the most stable polymorph in this dataset = 0.084 eV/atom



Entry 3:
Computed, not measured: crystalline HoCrS4 at its relaxed geometry at the PBE level of DFT.

a = 5.8775 Å, b = 6.8571 Å, c = 6.9891 Å
α = 114.06°, β = 108.89°, γ = 101.37°
With the nearest neighbours (Å) after each atom.
Fractional coordinates of all 12 atoms:
S (0.8025, 0.7350, 0.6796)  2 Cr 2.45
S (0.3770, 0.9446, 0.6796)  2 Cr 2.45
S (0.1975, 0.2650, 0.3204)  2 Cr 2.45
S (0.9891, 0.7824, 0.1242)  2 Cr 2.44-2.54
S (0.3648, 0.6582, 0.8758)  2 Cr 2.44-2.54
S (0.0109, 0.2176, 0.8758)  2 Cr 2.44-2.54
S (0.6230, 0.0554, 0.3204)  2 Cr 2.45
S (0.6352, 0.3418, 0.1242)  2 Cr 2.44-2.54
Cr (0.2446, 0.9946, 0.9892)  8 S 2.44-2.54
Cr (0.7554, 0.0054, 0.0108)  8 S 2.44-2.54
Ho (0.6190, 0.3690, 0.7379)  8 S 2.75-2.84
Ho (0.3810, 0.6310, 0.2621)  8 S 2.75-2.84

Computed properties:
uncorrected formation energy = -0.8087 eV per atom
symmetry = C2/c, No. 15



Entry 4:
Computed, not measured: crystalline LiNi2Ag2 at its relaxed geometry at the PBE level of DFT.

a = 7.5626 Å, b = 7.5626 Å, c = 2.7408 Å
α = 90.00°, β = 90.00°, γ = 90.00°
With the nearest neighbours (Å) after each atom.
Fractional coordinates of all 10 atoms:
Li (0.0000, 0.0000, 0.0000)  2 Li 2.74, 4 Ag 2.77
Li (0.5000, 0.5000, 0.0000)  2 Li 2.74, 4 Ag 2.77
Ni (0.8876, 0.3876, 0.5000)  1 Ni 2.41, 6 Ag 2.59-2.67
Ni (0.6124, 0.8876, 0.5000)  1 Ni 2.41, 6 Ag 2.59-2.67
Ni (0.1124, 0.6124, 0.5000)  1 Ni 2.41, 6 Ag 2.59-2.67
Ni (0.3876, 0.1124, 0.5000)  1 Ni 2.41, 6 Ag 2.59-2.67
Ag (0.8182, 0.6818, 0.0000)  6 Ni 2.59-2.67, 2 Ag 2.74, 2 Li 2.77
Ag (0.6818, 0.1818, 0.0000)  6 Ni 2.59-2.67, 2 Ag 2.74, 2 Li 2.77
Ag (0.3182, 0.8182, 0.0000)  6 Ni 2.59-2.67, 2 Ag 2.74, 2 Li 2.77
Ag (0.1818, 0.3182, 0.0000)  6 Ni 2.59-2.67, 2 Ag 2.74, 2 Li 2.77

Computed properties:
symmetry = P4/mbm, No. 127
ΔE_f = 0.222 eV/atom
energy above the most stable polymorph in this dataset = 0.030 eV/atom



Entry 5:
Computed, not measured: crystalline Co2AsOs at its relaxed geometry at the PBE level of DFT.

a = 2.6962 Å, b = 2.6962 Å, c = 8.5736 Å
α = 90.00°, β = 90.00°, γ = 118.03°
With the nearest neighbours (Å) after each atom.
Fractional coordinates of all 4 atoms:
As (0.5000, 0.5000, 0.7665)  2 Co 2.52, 6 As 2.70-2.78, 2 Os 2.80
Co (0.0000, 0.0000, 0.0122)  2 Co 2.38, 2 As 2.52
Co (0.5000, 0.5000, 0.2381)  2 Co 2.38, 2 Os 2.52
Os (0.0000, 0.0000, 0.4832)  2 Co 2.52, 6 Os 2.70-2.78, 2 As 2.80

Computed properties:
symmetry = Cmm2, No. 35
ΔE_f = 0.548 eV/atom



Entry 6:
Computed, not measured: crystalline NdDyTlAu at its relaxed geometry at the PBE level of DFT.

a = 5.3273 Å, b = 5.3273 Å, c = 5.3273 Å
α = 60.00°, β = 60.00°, γ = 60.00°
With the nearest neighbours (Å) after each atom.
Fractional coordinates of all 4 atoms:
Au (0.0000, 0.0000, 0.0000)  4 Dy 3.26, 4 Nd 3.26
Nd (0.2500, 0.2500, 0.2500)  4 Tl 3.26, 4 Au 3.26
Dy (0.7500, 0.7500, 0.7500)  4 Tl 3.26, 4 Au 3.26
Tl (0.5000, 0.5000, 0.5000)  4 Dy 3.26, 4 Nd 3.26

Computed properties:
symmetry = F-43m, No. 216
ΔE_f = -0.536 eV/atom
energy above the most stable polymorph in this dataset = 0.063 eV/atom



For reference, size of the total moment by record: 0.000; 1.211; 1.820; 0.753; 3.777; 0.165 μB/cell.